4
Lattice="-2.017 2.017 3.769 2.017 -2.017 3.769 2.017 2.017 -3.769" Properties=species:S:1:pos:R:3 comment="YBe2Si (GGA-PBE, relaxed)" crystal_system=tetragonal n_ef_per_ev_fu=1.95 e_form_raw_kcal_per_mol_atoms=3.9 magmom_total_mub_per_cell=0.000 space_group="No. 139" pbc="T T T"
Y 0.000 0.000 0.000
Be 2.017 0.000 1.885
Be 0.000 2.017 1.885
Si 0.000 0.000 3.769